# Sm5InTe8

Sm5InTe8 after structural relaxation (PBE-GGA, Alexandria via LeMat-Bulk).

Its uncorrected formation energy is -1.203 eV/atom. The total energy comes out at -273.22 eV per cell. The total moment is 0.0 Bohr magnetons per cell.

The space group is F-43m (No. 216) and the conventional cell measures 13.1386, 13.1386 and 13.1386 Å, with angles of 90.00, 90.00 and 90.00 degrees. The asymmetric unit holds Sm at (0.0000, 0.0000, 0.0000), Sm at (0.1203, 0.1203, 0.6203), In at (0.2500, 0.2500, 0.2500), Te at (0.1147, 0.1147, 0.3853) and Te at (0.1332, 0.1332, 0.8668).